# 1
Material: VCd3Fe
Method: DFT, PBE
State: optimized geometry

## Properties
total magnetic moment: 1.377 μB per atom
polymorph energy (0 for the lowest one): 372.2 meV/atom
symmetry: No. 221

Cell lengths 5.1639, 5.1639, 5.1639 Å; angles 90.00, 90.00, 90.00 degrees
Fractional coordinates of all 5 atoms:
Fe  0.5000  0.5000  0.5000
Cd  0.5000  0.0000  0.0000
Cd  0.0000  0.5000  0.0000
Cd  0.0000  0.0000  0.5000
V  0.0000  0.0000  0.0000

# 2
Material: V2CdFe
Method: DFT, PBE
State: optimized geometry

## Properties
total magnetic moment: 0.464 μB per atom
total DFT energy (no corrections): -6.1345 eV/atom
symmetry: No. 122

Cell lengths 3.6252, 3.6252, 9.8576 Å; angles 79.40, 79.40, 90.00 degrees
Fractional coordinates of all 8 atoms:
V  0.6050  0.1250  0.2500
V  0.1450  0.6250  0.2500
V  0.8750  0.8550  0.7500
V  0.3750  0.3950  0.7500
Cd  0.0000  0.0000  0.0000
Cd  0.7500  0.2500  0.5000
Fe  0.5000  0.5000  0.0000
Fe  0.2500  0.7500  0.5000